Record 1
## Cd3HgO3 (PBE)

Data for a geometry-optimized Cd3HgO3 structure.

Values from the calculation:
Density   6.63 g/cm³
Formation energy (no corrections)   -0.75 eV per atom

The structure in CIF format:
```
data_Cd3HgO3
_chemical_formula_sum 'Cd18 Hg6 O18'
_cell_length_a 6.5652
_cell_length_b 6.5652
_cell_length_c 23.5681
_cell_angle_alpha 90.00
_cell_angle_beta 90.00
_cell_angle_gamma 120.00
_symmetry_space_group_name_H-M 'R -3'
_symmetry_Int_Tables_number 148
_symmetry_space_group_name_Hall '-R 3'
loop_
_atom_site_label
_atom_site_type_symbol
_atom_site_fract_x
_atom_site_fract_y
_atom_site_fract_z
Cd1 Cd 0.0010 0.3363 0.3865
Hg1 Hg 0.0000 0.0000 0.1666
O1 O 0.0009 0.3309 0.6152
```

***

Record 2
## CdHg5O6 (PBE)

Data for a geometry-optimized CdHg5O6 structure.

Values from the calculation:
Density   10.63 g/cm³
Formation energy (no corrections)   -0.32 eV per atom

The structure in CIF format:
```
data_CdHg5O6
_chemical_formula_sum 'Cd2 Hg10 O12'
_cell_length_a 6.217
_cell_length_b 10.498
_cell_length_c 6.134
_cell_angle_alpha 90.00
_cell_angle_beta 109.06
_cell_angle_gamma 90.00
_symmetry_space_group_name_H-M 'C 1 2/m 1'
_symmetry_Int_Tables_number 12
loop_
_symmetry_equiv_pos_as_xyz
'x,y,z'
'-x,-y,-z'
'-x,y,-z'
'x,-y,z'
'x+1/2,y+1/2,z'
'-x+1/2,-y+1/2,-z'
'-x+1/2,y+1/2,-z'
'x+1/2,-y+1/2,z'
loop_
_atom_site_label
_atom_site_type_symbol
_atom_site_fract_x
_atom_site_fract_y
_atom_site_fract_z
Cd1 Cd 0.000 0.000 0.000
Hg1 Hg 0.000 0.167 0.500
Hg2 Hg 0.000 0.337 0.000
Hg3 Hg 0.000 0.500 0.500
O1 O 0.170 0.000 0.744
O2 O 0.180 0.338 0.756
```

***

Record 3
## Cd2Hg2O (PBE)

Data for a geometry-optimized Cd2Hg2O structure.

Values from the calculation:
Density   9.25 g/cm³
Formation energy (no corrections)   0.40 eV per atom

The structure in CIF format:
```
data_Cd2Hg2O
_chemical_formula_sum 'Cd4 Hg4 O2'
_cell_length_a 3.975
_cell_length_b 3.975
_cell_length_c 14.588
_cell_angle_alpha 90.00
_cell_angle_beta 90.00
_cell_angle_gamma 90.00
_symmetry_space_group_name_H-M 'I 4/m m m'
_symmetry_Int_Tables_number 139
_symmetry_space_group_name_Hall '-I 4 2'
loop_
_atom_site_label
_atom_site_type_symbol
_atom_site_fract_x
_atom_site_fract_y
_atom_site_fract_z
Cd1 Cd 0.000 0.500 0.250
Hg1 Hg 0.000 0.000 0.092
O1 O 0.000 0.000 0.500
```

***

Record 4
## Cd2HgO2 (PBE)

Data for a geometry-optimized Cd2HgO2 structure.

Values from the calculation:
Density   9.58 g/cm³
Formation energy (no corrections)   -0.27 eV per atom

The structure in CIF format:
```
data_Cd2HgO2
_chemical_formula_sum 'Cd4 Hg2 O4'
_cell_length_a 7.212
_cell_length_b 7.212
_cell_length_c 3.048
_cell_angle_alpha 90.00
_cell_angle_beta 90.00
_cell_angle_gamma 90.00
_symmetry_space_group_name_H-M 'P 4/m b m'
_symmetry_Int_Tables_number 127
_symmetry_space_group_name_Hall '-P 4 2ab'
loop_
_atom_site_label
_atom_site_type_symbol
_atom_site_fract_x
_atom_site_fract_y
_atom_site_fract_z
Cd1 Cd 0.138 0.362 0.000
Hg1 Hg 0.000 0.000 0.000
O1 O 0.142 0.642 0.500
```